NiAsPC | GGA-PBE | relaxed

The space group is Cm (No. 8) and the conventional cell measures 7.203, 2.925 and 5.466 Å, with angles of 90.00, 104.69 and 90.00 degrees. The asymmetric unit holds Ni at (0.000, 0.000, 0.000), As at (0.251, 0.500, 0.229), P at (0.240, 0.500, 0.669) and C at (0.123, 0.000, 0.727).

For the distance to the lowest polymorph of the same formula, the calculation gives 0.57 eV/f.u. The magnetization comes out at 0.00 μB per formula unit. As for the formation energy: 36 kJ per mole of atoms.



NiAsPC | GGA-PBE | relaxed

The space group is P1 (No. 1) and the conventional cell measures 3.049, 3.466 and 6.295 Å, with angles of 76.86, 89.91 and 69.15 degrees. The asymmetric unit holds Ni at (0.000, 0.000, 0.000), As at (0.062, 0.853, 0.379), P at (0.631, 0.690, 0.847) and C at (0.579, 0.812, 0.560).

For the distance to the lowest polymorph of the same formula, the calculation gives 0.29 eV/f.u. The magnetization comes out at 0.00 μB per formula unit. As for the formation energy: 29 kJ per mole of atoms.